[1]
# In2SiSe

A relaxed structure of In2SiSe (PBE-GGA, Alexandria via LeMat-Bulk).

Cell lengths 7.176, 7.176, 4.192 Å; angles 106.56, 106.56, 28.99 degrees
Element x y z (fractional)
In  0.179  0.179  0.180
In  0.821  0.821  0.820
Si  0.500  0.500  0.000
Se  0.000  0.000  0.500

Results
Energy = -13.9 eV per formula unit
Symmetry = No. 12


[2]
# InSiSe

A relaxed structure of InSiSe (PBE-GGA, Alexandria via LeMat-Bulk).

Cell lengths 3.439, 3.439, 7.187 Å; angles 90.00, 90.00, 120.00 degrees
Element x y z (fractional)
In  0.000  0.000  0.000
Si  0.333  0.667  0.648
Se  0.667  0.333  0.445

Results
Energy = -11.5 eV per formula unit
Symmetry = No. 156


[3]
# In2SiSe

A relaxed structure of In2SiSe (PBE-GGA, Alexandria via LeMat-Bulk).

Cell lengths 3.342, 3.342, 8.691 Å; angles 90.00, 90.00, 90.00 degrees
Element x y z (fractional)
In  0.000  0.000  0.000
In  0.500  0.500  0.284
Si  0.500  0.500  0.731
Se  0.000  0.000  0.600

Results
Energy = -13.8 eV per formula unit
Symmetry = No. 99


What did the first record say?
# In2SiSe

A relaxed structure of In2SiSe (PBE-GGA, Alexandria via LeMat-Bulk).

Cell lengths 7.176, 7.176, 4.192 Å; angles 106.56, 106.56, 28.99 degrees
Element x y z (fractional)
In  0.179  0.179  0.180
In  0.821  0.821  0.820
Si  0.500  0.500  0.000
Se  0.000  0.000  0.500

Results
Energy = -13.9 eV per formula unit
Symmetry = No. 12


- Number 1 is which compound?
  In2SiSe